Entry 1:
A plane-wave DFT calculation with GGA-PBE was carried out for TbAs4 after structural relaxation.

The structure in CIF format:
```
data_TbAs4
_chemical_formula_sum 'Tb1 As4'
_space_group_name_H-M_alt 'P 1'
_space_group_IT_number 1
_cell_length_a 5.393
_cell_length_b 5.393
_cell_length_c 5.393
_cell_angle_alpha 90.00
_cell_angle_beta 90.00
_cell_angle_gamma 90.00
loop_
_space_group_symop_operation_xyz
'x,y,z'
loop_
_atom_site_label
_atom_site_type_symbol
_atom_site_fract_x
_atom_site_fract_y
_atom_site_fract_z
As1 As 0.000 0.500 0.500
As2 As 0.000 0.000 0.000
Tb1 Tb 0.500 0.500 0.500
As3 As 0.500 0.500 0.000
As4 As 0.500 0.000 0.500
```

Space group: Pm-3m
Total magnetic moment, μB/f.u.: 0.00
Total energy, eV per atom: -3.863
DFT formation energy, meV per atom: 783

=====

Entry 2:
A plane-wave DFT calculation with GGA-PBE was carried out for Tb4As after structural relaxation.

The structure in CIF format:
```
data_Tb4As
_chemical_formula_sum 'Tb4 As1'
_space_group_name_H-M_alt 'P 1'
_space_group_IT_number 1
_cell_length_a 5.509
_cell_length_b 5.509
_cell_length_c 5.509
_cell_angle_alpha 90.00
_cell_angle_beta 90.00
_cell_angle_gamma 90.00
loop_
_space_group_symop_operation_xyz
'x,y,z'
loop_
_atom_site_label
_atom_site_type_symbol
_atom_site_fract_x
_atom_site_fract_y
_atom_site_fract_z
Tb1 Tb 0.500 0.000 0.500
Tb2 Tb 0.000 0.500 0.500
Tb3 Tb 0.000 0.000 0.000
As1 As 0.500 0.500 0.500
Tb4 Tb 0.500 0.500 0.000
```

Space group: Pm-3m
Total magnetic moment, μB/f.u.: 0.00
Total energy, eV per atom: -4.918
DFT formation energy, meV per atom: -284

=====

Entry 3:
A plane-wave DFT calculation with GGA-PBE was carried out for TbTcAs after structural relaxation.

The structure in CIF format:
```
data_TbTcAs
_chemical_formula_sum 'Tb2 Tc2 As2'
_space_group_name_H-M_alt 'P 1'
_space_group_IT_number 1
_cell_length_a 4.149
_cell_length_b 4.149
_cell_length_c 7.492
_cell_angle_alpha 106.07
_cell_angle_beta 106.07
_cell_angle_gamma 90.00
loop_
_space_group_symop_operation_xyz
'x,y,z'
loop_
_atom_site_label
_atom_site_type_symbol
_atom_site_fract_x
_atom_site_fract_y
_atom_site_fract_z
As1 As 0.882 0.882 0.764
As2 As 0.118 0.118 0.236
Tb1 Tb 0.654 0.654 0.307
Tc1 Tc 0.000 0.500 0.000
Tb2 Tb 0.346 0.346 0.693
Tc2 Tc 0.500 0.000 0.000
```

Space group: I4/mmm
Total magnetic moment, μB/f.u.: 0.00
Total energy, eV per atom: -7.341
DFT formation energy, meV per atom: -793

=====

Entry 4:
A plane-wave DFT calculation with GGA-PBE was carried out for Tb2TcAs after structural relaxation.

The structure in CIF format:
```
data_Tb2TcAs
_chemical_formula_sum 'Tb2 Tc1 As1'
_space_group_name_H-M_alt 'P 1'
_space_group_IT_number 1
_cell_length_a 3.642
_cell_length_b 3.642
_cell_length_c 6.483
_cell_angle_alpha 90.00
_cell_angle_beta 90.00
_cell_angle_gamma 90.00
loop_
_space_group_symop_operation_xyz
'x,y,z'
loop_
_atom_site_label
_atom_site_type_symbol
_atom_site_fract_x
_atom_site_fract_y
_atom_site_fract_z
Tb1 Tb 0.000 0.000 0.251
Tb2 Tb 0.000 0.000 0.749
As1 As 0.500 0.500 0.000
Tc1 Tc 0.500 0.500 0.500
```

Space group: P4/mmm
Total magnetic moment, μB/f.u.: 0.00
Total energy, eV per atom: -6.565
DFT formation energy, meV per atom: -496

=====

Entry 5:
A plane-wave DFT calculation with GGA-PBE was carried out for TbTcAs after structural relaxation.

The structure in CIF format:
```
data_TbTcAs
_chemical_formula_sum 'Tb1 Tc1 As1'
_space_group_name_H-M_alt 'P 1'
_space_group_IT_number 1
_cell_length_a 3.738
_cell_length_b 4.316
_cell_length_c 4.316
_cell_angle_alpha 120.00
_cell_angle_beta 90.00
_cell_angle_gamma 90.00
loop_
_space_group_symop_operation_xyz
'x,y,z'
loop_
_atom_site_label
_atom_site_type_symbol
_atom_site_fract_x
_atom_site_fract_y
_atom_site_fract_z
Tb1 Tb 0.667 0.333 0.667
As1 As 0.167 0.000 0.000
Tc1 Tc 0.167 0.667 0.333
```

Space group: P-6m2
Total magnetic moment, μB/f.u.: 0.00
Total energy, eV per atom: -7.030
DFT formation energy, meV per atom: -481

=====

Entry 6:
A plane-wave DFT calculation with GGA-PBE was carried out for TbTe2As after structural relaxation.

The structure in CIF format:
```
data_TbTe2As
_chemical_formula_sum 'Tb1 Te2 As1'
_space_group_name_H-M_alt 'P 1'
_space_group_IT_number 1
_cell_length_a 4.045
_cell_length_b 4.045
_cell_length_c 9.690
_cell_angle_alpha 77.95
_cell_angle_beta 77.95
_cell_angle_gamma 60.00
loop_
_space_group_symop_operation_xyz
'x,y,z'
loop_
_atom_site_label
_atom_site_type_symbol
_atom_site_fract_x
_atom_site_fract_y
_atom_site_fract_z
Tb1 Tb 0.000 0.000 0.000
Te1 Te 0.893 0.893 0.321
Te2 Te 0.107 0.107 0.679
As1 As 0.500 0.500 0.500
```

E_form (uncorrected), eV/atom: -0.0545
Space group: R-3m
Total magnetic moment, μB/f.u.: 0.00
Total energy, eV per atom: -3.945

=====

Q: Look up the total energy of the second one.
A: -4.918 eV per atom

=====

Q: Number 6 is which compound?
A: TbTe2As